(1)
## Na2TbInSn2 (GGA-PBE)

Data for Na2TbInSn2 after structural relaxation.

Cell: 4.636 7.645 9.475 Å, 90.00 90.00 90.00°
Element x y z (fractional)
Na  0.500  0.047  0.071
Na  0.000  0.348  0.169
Na  0.500  0.547  0.929
Na  0.000  0.848  0.831
Tb  0.000  0.976  0.447
Tb  0.000  0.476  0.553
In  0.500  0.148  0.681
In  0.500  0.648  0.319
Sn  0.000  0.269  0.840
Sn  0.500  0.257  0.380
Sn  0.000  0.769  0.160
Sn  0.500  0.757  0.620

Summary:
**Formation enthalpy at 0 K**: -0.363 eV/atom
**Calculated total energy**: -3.36 eV/atom
**Fermi-level density of states**: 0.82 states/eV/f.u.
**Space group**: No. 26

=====

(2)
## Zr2HgAu (GGA-PBE)

Data for Zr2HgAu after structural relaxation.

Cell: 4.928 4.928 4.928 Å, 60.00 60.00 60.00°
Each line ends with the local moment (μB).
Element x y z (fractional)
Au  0.500  0.500  0.500  0.08
Hg  0.250  0.250  0.250  0.03
Zr  0.000  0.000  0.000  1.10
Zr  0.750  0.750  0.750  0.96

Summary:
**Formation enthalpy at 0 K**: 0.001 eV/atom
**Calculated total energy**: -5.17 eV/atom
**Fermi-level density of states**: 1.99 states/eV/f.u.
**Space group**: No. 216

=====

(3)
## PuCdFeRh (GGA-PBE)

Data for PuCdFeRh after structural relaxation.

Cell: 4.656 4.656 4.656 Å, 60.00 60.00 60.00°
Each line ends with the local moment (μB).
Element x y z (fractional)
Cd  0.250  0.250  0.250  0.02
Rh  0.000  0.000  0.000  -0.30
Fe  0.500  0.500  0.500  -2.34
Pu  0.750  0.750  0.750  5.07

Summary:
**Formation enthalpy at 0 K**: -0.096 eV/atom
**Calculated total energy**: -7.86 eV/atom
**Fermi-level density of states**: 6.55 states/eV/f.u.
**Space group**: No. 216

=====

(4)
## PmTm2Sn (GGA-PBE)

Data for PmTm2Sn after structural relaxation.

Cell: 4.703 4.607 11.374 Å, 101.68 90.00 90.00°
Element x y z (fractional)
Pm  0.250  0.308  0.615
Pm  0.750  0.692  0.385
Tm  0.750  0.443  0.886
Tm  0.250  0.557  0.114
Tm  0.250  0.937  0.873
Tm  0.750  0.063  0.127
Sn  0.750  0.839  0.676
Sn  0.250  0.161  0.324

Summary:
**Formation enthalpy at 0 K**: -0.423 eV/atom
**Calculated total energy**: -4.85 eV/atom
**Fermi-level density of states**: 5.04 states/eV/f.u.
**Space group**: No. 11
**Excess energy over the best structure of this formula in the dataset**: 0.0 kJ/mol of formula units

=====

Question: Look up the Fermi-level density of states of the third one.
Answer: 6.55 states/eV/f.u.

=====

Question: Number 1 is which compound?
Answer: Na2TbInSn2

=====

Question: calculated total energy of number 1 (Na2TbInSn2)?
Answer: -3.36 eV/atom